(1)
Compound: RbInP2O7
Source: the Alexandria database
Functional: SCAN
Structure: PBEsol geometry

```
RbInP2O7
1.0
7.545 0.000 0.000
0.000 10.491 0.000
-2.329 0.000 8.216
Rb In P O
4 4 8 28
Cartesian
1.246 1.892 0.454
0.082 3.353 4.562
5.134 7.137 3.654
3.970 8.599 7.762
1.187 6.284 2.118
0.022 9.452 6.226
5.194 1.039 1.990
4.030 4.207 6.098
-0.947 6.289 6.782
0.217 9.447 2.674
1.697 6.683 5.668
2.861 9.054 1.560
2.356 1.437 6.656
3.520 3.808 2.548
4.999 1.043 5.542
6.163 4.202 1.434
-0.463 0.018 1.803
-1.627 5.227 5.911
-1.198 7.679 6.179
-0.034 8.057 2.071
1.003 6.212 0.018
-0.161 9.524 4.126
1.211 6.329 4.273
2.376 9.407 0.165
0.642 5.976 6.684
1.806 9.761 2.576
0.991 0.854 6.291
2.155 4.391 2.183
2.892 7.558 1.899
1.728 8.179 6.007
3.488 2.312 2.209
2.324 2.933 6.317
3.061 6.099 6.033
4.226 9.637 1.925
3.410 0.730 5.640
4.575 4.515 1.532
2.841 1.084 8.051
4.005 4.161 3.943
5.378 0.967 4.090
4.213 4.278 8.198
5.251 2.433 6.145
6.415 2.812 2.037
6.844 5.264 2.305
5.680 10.473 6.413
```

Total magnetic moment = 0.000 μB/atom
Uncorrected formation energy = -26.7 eV per formula unit

---

(2)
Compound: InP2SO
Source: the Alexandria database
Functional: SCAN
Structure: PBEsol geometry

```
InP2SO
1.0
5.023 0.000 0.000
0.000 5.023 0.000
0.000 0.000 3.887
In P S O
1 2 1 1
Cartesian
0.000 0.000 0.000
0.000 2.512 0.000
2.512 0.000 0.000
2.512 2.512 1.944
0.000 0.000 1.944
```

Total magnetic moment = 0.000 μB/atom
Uncorrected formation energy = 4.4 eV per formula unit

---

(3)
Compound: InSbP4O14
Source: the Alexandria database
Functional: SCAN
Structure: PBEsol geometry

```
InSbP4O14
1.0
7.974 0.000 0.000
0.000 16.187 0.000
0.000 0.000 8.016
In Sb P O
4 4 16 56
Cartesian
0.130 2.035 0.000
3.857 10.128 4.008
4.117 6.059 0.000
7.844 14.152 4.008
0.146 6.107 3.994
3.841 14.200 8.002
4.133 1.987 3.994
7.828 10.080 8.002
0.713 9.183 3.006
0.771 13.173 0.828
0.844 5.325 0.908
0.992 1.217 3.227
2.995 9.310 7.235
3.143 13.418 4.916
3.216 5.079 4.836
3.274 1.090 7.014
4.700 15.097 3.006
4.758 11.108 0.828
4.831 2.768 0.908
4.978 6.877 3.227
6.982 14.970 7.235
7.130 10.862 4.916
7.202 3.014 4.836
7.261 7.003 7.014
0.033 5.188 2.250
0.141 0.066 3.666
0.162 6.637 0.259
0.279 6.876 5.818
0.438 2.567 3.925
0.532 4.135 0.046
0.591 11.644 0.939
0.823 13.852 2.153
1.039 7.681 3.213
1.138 1.532 1.765
1.579 9.158 7.877
1.692 13.776 5.113
1.941 5.327 4.021
1.972 9.982 2.901
2.015 1.889 6.909
2.046 13.420 0.013
2.295 5.683 1.105
2.408 1.064 3.869
2.849 9.625 5.773
2.948 15.774 7.221
3.164 5.759 6.161
3.396 3.551 4.947
3.455 12.228 4.054
3.549 10.660 7.933
3.708 14.969 1.810
3.825 14.730 4.267
3.846 8.160 7.674
3.954 13.281 6.258
4.020 2.905 2.250
4.128 8.027 3.666
4.149 1.456 0.259
4.266 1.218 5.818
4.425 5.526 3.925
4.519 3.959 0.046
4.578 12.636 0.939
4.810 10.428 2.153
5.026 0.412 3.213
5.125 6.561 1.765
5.566 15.122 7.877
5.679 10.504 5.113
5.928 2.767 4.021
5.959 14.298 2.901
6.002 6.205 6.909
6.033 10.860 0.013
6.281 2.411 1.105
6.395 7.029 3.869
6.836 14.655 5.773
6.935 8.506 7.221
7.151 2.335 6.161
7.383 4.542 4.947
7.442 12.052 4.054
7.536 13.620 7.933
7.695 9.311 1.810
7.812 9.550 4.267
7.833 16.120 7.674
7.941 10.999 6.258
```

Total magnetic moment = 0.004 μB/atom
Uncorrected formation energy = -44.2 eV per formula unit

---

(4)
Compound: InSnPO2
Source: the Alexandria database
Functional: SCAN
Structure: PBEsol geometry

```
InSnPO2
1.0
4.066 0.000 0.000
0.000 4.066 0.000
0.000 0.000 5.217
In Sn P O
1 1 1 2
Cartesian
0.000 0.000 0.000
2.033 2.033 2.609
0.000 0.000 2.609
0.000 2.033 0.000
2.033 0.000 0.000
```

Total magnetic moment = 0.190 μB/atom
Uncorrected formation energy = -1.1 eV per formula unit